Material: KZrAl
Method: DFT, GGA-PBE
State: relaxed

The offset from the most stable computed form comes out at 4.39 kcal/mol of atoms.

It has space group P1 (No. 1), with a = 4.1041 Å, b = 5.0392 Å, c = 11.5635 Å, α = 79.79°, β = 88.98° and γ = 66.01°. The inequivalent atoms are K at (0.0000, 0.0000, 0.0000), K at (0.3862, 0.2992, 0.3291), Zr at (0.1454, 0.7558, 0.5557), Zr at (0.5616, 0.9060, 0.7198), Al at (0.2774, 0.4670, 0.7908) and Al at (0.8514, 0.3354, 0.6321).

Material: KZr2Al
Method: DFT, GGA-PBE
State: relaxed

The value obtained for the total energy is -5.115 eV per atom.

It has space group R-3m (No. 166, hexagonal axes), with a = 3.1280 Å, b = 3.1280 Å, c = 35.6602 Å, α = 90.00°, β = 90.00° and γ = 120.00°. The inequivalent atoms are K at (0.0000, 0.0000, 0.0000), Zr at (0.0000, 0.0000, 0.2350) and Al at (0.0000, 0.0000, 0.5000).

Material: K3ZrAl
Method: DFT, GGA-PBE
State: relaxed

The offset from the most stable computed form comes out at 1.07 kcal/mol of atoms.

It has space group Pm-3m (No. 221), with a = 6.6053 Å, b = 6.6053 Å, c = 6.6053 Å, α = 90.00°, β = 90.00° and γ = 90.00°. The inequivalent atoms are K at (0.0000, 0.0000, 0.5000), Zr at (0.0000, 0.0000, 0.0000) and Al at (0.5000, 0.5000, 0.5000).

Material: KZrAl
Method: DFT, GGA-PBE
State: relaxed

The offset from the most stable computed form comes out at 35.83 kcal/mol of atoms.

It has space group F-43m (No. 216), with a = 7.0004 Å, b = 7.0004 Å, c = 7.0004 Å, α = 90.00°, β = 90.00° and γ = 90.00°. The inequivalent atoms are K at (0.0000, 0.0000, 0.0000), Zr at (0.2500, 0.2500, 0.2500) and Al at (0.2500, 0.2500, 0.7500).

Material: KZrAl
Method: DFT, GGA-PBE
State: relaxed

The offset from the most stable computed form comes out at 7.08 kcal/mol of atoms.

It has space group Pm (No. 6), with a = 5.4835 Å, b = 4.8793 Å, c = 7.5520 Å, α = 90.00°, β = 90.07° and γ = 90.00°. The inequivalent atoms are K at (0.0000, 0.0000, 0.0000), K at (0.4998, 0.5000, 0.1958), Zr at (0.4970, 0.0000, 0.5744), Zr at (0.9968, 0.0000, 0.5300), Al at (0.2452, 0.5000, 0.6678) and Al at (0.7491, 0.5000, 0.6685).

Material: KZrAl
Method: DFT, GGA-PBE
State: relaxed

The offset from the most stable computed form comes out at 0.00 kcal/mol of atoms.

It has space group C2/m (No. 12), with a = 25.0552 Å, b = 4.4108 Å, c = 3.6749 Å, α = 90.00°, β = 90.26° and γ = 90.00°. The inequivalent atoms are K at (0.1697, 0.0000, 0.2557), Zr at (0.0474, 0.5000, 0.2511) and Al at (0.0400, 0.0000, 0.7511).

Material: KZrAl
Method: DFT, GGA-PBE
State: relaxed

The offset from the most stable computed form comes out at 9.92 kcal/mol of atoms.

It has space group P3m1 (No. 156), with a = 3.1905 Å, b = 3.1905 Å, c = 8.9048 Å, α = 90.00°, β = 90.00° and γ = 120.00°. The inequivalent atoms are K at (0.0000, 0.0000, 0.0000), Zr at (0.3333, 0.6667, 0.3913) and Al at (0.6667, 0.3333, 0.6582).

Material: KZr2Al
Method: DFT, GGA-PBE
State: relaxed

The value obtained for the total energy is -5.070 eV per atom.

It has space group C2/m (No. 12), with a = 12.7306 Å, b = 2.9442 Å, c = 5.8376 Å, α = 90.00°, β = 108.39° and γ = 90.00°. The inequivalent atoms are K at (0.0000, 0.0000, 0.0000), Zr at (0.2137, 0.0000, 0.7014) and Al at (0.0000, 0.5000, 0.5000).

Material: KZrAl
Method: DFT, GGA-PBE
State: relaxed

The offset from the most stable computed form comes out at 12.18 kcal/mol of atoms.

It has space group P6_3/mmc (No. 194), with a = 5.4118 Å, b = 5.4118 Å, c = 5.9551 Å, α = 90.00°, β = 90.00° and γ = 120.00°. The inequivalent atoms are K at (0.0000, 0.0000, 0.0000), Zr at (0.3333, 0.6667, 0.2500) and Al at (0.3333, 0.6667, 0.7500).

Material: KZr2Al
Method: DFT, GGA-PBE
State: relaxed

The value obtained for the total energy is -4.748 eV per atom.

It has space group F-43m (No. 216), with a = 7.3789 Å, b = 7.3789 Å, c = 7.3789 Å, α = 90.00°, β = 90.00° and γ = 90.00°. The inequivalent atoms are K at (0.0000, 0.0000, 0.0000), Zr at (0.0000, 0.0000, 0.5000), Zr at (0.2500, 0.2500, 0.7500) and Al at (0.2500, 0.2500, 0.2500).

Material: KZr2Al
Method: DFT, GGA-PBE
State: relaxed

The value obtained for the total energy is -5.268 eV per atom.

It has space group Cmm2 (No. 35), with a = 4.4058 Å, b = 4.4690 Å, c = 10.7242 Å, α = 90.00°, β = 90.00° and γ = 90.00°. The inequivalent atoms are K at (0.0000, 0.0000, 0.0000), Zr at (0.0000, 0.0000, 0.4611), Zr at (0.0000, 0.5000, 0.6680) and Al at (0.0000, 0.5000, 0.2649).

Material: KZr2Al
Method: DFT, GGA-PBE
State: relaxed

The value obtained for the total energy is -4.610 eV per atom.

It has space group I-42d (No. 122), with a = 4.4072 Å, b = 4.4072 Å, c = 21.5773 Å, α = 90.00°, β = 90.00° and γ = 90.00°. The inequivalent atoms are K at (0.0000, 0.0000, 0.0000), Zr at (0.2164, 0.7500, 0.6250) and Al at (0.0000, 0.0000, 0.5000).